(1)
The following is a GGA-PBE calculation of a geometry-optimized CrTcB structure, from the Alexandria database.

Values from the calculation:
Energy relative to the elements = 0.01 eV/atom
Symmetry = I4mm, No. 107
Total energy = -26.629 eV per cell
Density of states at the Fermi level = 0.91 states/eV/atom

a = 4.457 Å, b = 4.457 Å, c = 4.457 Å
α = 142.86°, β = 142.86°, γ = 53.54°
Sites, in units of the cell vectors:
Cr 0.000 0.000 0.000
Tc 0.301 0.301 0.000
B 0.639 0.639 0.000

***

(2)
The following is a GGA-PBE calculation of a geometry-optimized Ac3In4 structure, from the Alexandria database.

Values from the calculation:
Energy relative to the elements = -0.43 eV/atom
Symmetry = Immm, No. 71
Total energy = -26.322 eV per cell
Density of states at the Fermi level = 0.84 states/eV/atom

a = 11.073 Å, b = 11.073 Å, c = 11.073 Å
α = 155.24°, β = 154.60°, γ = 35.77°
Sites, in units of the cell vectors:
Ac 0.000 0.000 0.000
Ac 0.186 0.686 0.500
Ac 0.814 0.314 0.500
In 0.354 0.854 0.500
In 0.433 0.433 0.000
In 0.567 0.567 0.000
In 0.646 0.146 0.500

***

(3)
The following is a GGA-PBE calculation of a geometry-optimized Th2Zn3Cu12Pt structure, from the Alexandria database.

Values from the calculation:
Energy relative to the elements = 0.09 eV/atom
Symmetry = R-3m, No. 166
Total energy = -72.279 eV per cell
Density of states at the Fermi level = 0.41 states/eV/atom

a = 9.779 Å, b = 9.779 Å, c = 9.779 Å
α = 36.52°, β = 36.52°, γ = 36.52°
Sites, in units of the cell vectors:
Th 0.149 0.149 0.149
Th 0.851 0.851 0.851
Zn 0.000 0.500 0.500
Zn 0.500 0.000 0.500
Zn 0.500 0.500 0.000
Cu 0.081 0.081 0.694
Cu 0.081 0.694 0.081
Cu 0.122 0.583 0.583
Cu 0.306 0.919 0.919
Cu 0.417 0.417 0.878
Cu 0.417 0.878 0.417
Cu 0.583 0.122 0.583
Cu 0.583 0.583 0.122
Cu 0.694 0.081 0.081
Cu 0.878 0.417 0.417
Cu 0.919 0.306 0.919
Cu 0.919 0.919 0.306
Pt 0.500 0.500 0.500

***

(4)
The following is a GGA-PBE calculation of a geometry-optimized Sb5C3 structure, from the Alexandria database.

Values from the calculation:
Symmetry = Cmcm, No. 63
Uncorrected formation energy = 111 kJ/mol of atoms
Total energy = -78.212 eV per cell
Density of states at the Fermi level = 0.52 states/eV/atom

a = 6.865 Å, b = 6.865 Å, c = 8.244 Å
α = 90.00°, β = 90.00°, γ = 117.58°
Sites, in units of the cell vectors:
Sb 0.157 0.843 0.750
Sb 0.160 0.299 0.750
Sb 0.299 0.160 0.250
Sb 0.330 0.670 0.067
Sb 0.330 0.670 0.433
Sb 0.670 0.330 0.567
Sb 0.670 0.330 0.933
Sb 0.701 0.840 0.750
Sb 0.840 0.701 0.250
Sb 0.843 0.157 0.250
C 0.044 0.529 0.250
C 0.471 0.956 0.250
C 0.478 0.522 0.250
C 0.522 0.478 0.750
C 0.529 0.044 0.750
C 0.956 0.471 0.750

***

(5)
The following is a GGA-PBE calculation of a geometry-optimized Dy2Er3Te2 structure, from the Alexandria database.

Values from the calculation:
Symmetry = C2/m, No. 12
Uncorrected formation energy = -66 kJ/mol of atoms
Total energy = -33.981 eV per cell
Density of states at the Fermi level = 1.02 states/eV/atom

a = 6.753 Å, b = 6.753 Å, c = 8.483 Å
α = 110.46°, β = 110.46°, γ = 34.04°
Sites, in units of the cell vectors:
Dy 0.136 0.136 0.298
Dy 0.864 0.864 0.702
Er 0.382 0.382 0.055
Er 0.500 0.500 0.500
Er 0.618 0.618 0.945
Te 0.180 0.180 0.707
Te 0.820 0.820 0.293

***

(6)
The following is a GGA-PBE calculation of a geometry-optimized Dy2Tl3InS6 structure, from the Alexandria database.

Values from the calculation:
Symmetry = C2/m, No. 12
Uncorrected formation energy = -110 kJ/mol of atoms
Total energy = -57.478 eV per cell

a = 6.915 Å, b = 6.915 Å, c = 7.885 Å
α = 98.44°, β = 98.44°, γ = 119.95°
Sites, in units of the cell vectors:
Dy 0.166 0.834 0.000
Dy 0.834 0.166 0.000
Tl 0.000 0.000 0.500
Tl 0.331 0.669 0.500
Tl 0.669 0.331 0.500
In 0.500 0.500 0.000
S 0.109 0.435 0.805
S 0.240 0.240 0.200
S 0.435 0.109 0.805
S 0.565 0.891 0.195
S 0.760 0.760 0.800
S 0.891 0.565 0.195

***

(7)
The following is a GGA-PBE calculation of a geometry-optimized LaHoAu2 structure, from the Alexandria database.

Values from the calculation:
Energy relative to the elements = -0.83 eV/atom
Symmetry = Amm2, No. 38
Total energy = -19.394 eV per cell
Density of states at the Fermi level = 0.70 states/eV/atom

a = 4.778 Å, b = 5.944 Å, c = 5.944 Å
α = 37.79°, β = 90.00°, γ = 90.00°
Sites, in units of the cell vectors:
La 0.000 0.000 0.000
Ho 0.500 0.725 0.725
Au 0.000 0.272 0.272
Au 0.500 0.448 0.448

***

(8)
The following is a GGA-PBE calculation of a geometry-optimized BeTcRuCCl structure, from the Alexandria database.

Values from the calculation:
Symmetry = Imm2, No. 44
Uncorrected formation energy = 16 kJ/mol of atoms
Total energy = -33.630 eV per cell
Density of states at the Fermi level = 0.83 states/eV/atom

a = 8.071 Å, b = 8.071 Å, c = 8.071 Å
α = 159.48°, β = 159.48°, γ = 29.17°
Sites, in units of the cell vectors:
Be 0.000 0.000 0.000
Tc 0.260 0.760 0.500
Ru 0.405 0.405 0.000
C 0.806 0.306 0.500
Cl 0.104 0.604 0.500

***

(9)
The following is a GGA-PBE calculation of a geometry-optimized Ru2WBr structure, from the Alexandria database.

Values from the calculation:
Symmetry = C2/m, No. 12
Uncorrected formation energy = 93 kJ/mol of atoms
Total energy = -29.306 eV per cell
Density of states at the Fermi level = 0.67 states/eV/atom

a = 5.207 Å, b = 5.207 Å, c = 2.927 Å
α = 104.41°, β = 104.41°, γ = 116.03°
Sites, in units of the cell vectors:
Ru 0.000 0.500 0.000
Ru 0.500 0.000 0.000
W 0.000 0.000 0.500
Br 0.500 0.500 0.500

***

(10)
The following is a GGA-PBE calculation of a geometry-optimized SbSeCl7O structure, from the Alexandria database.

Values from the calculation:
Symmetry = P2_1/c, No. 14
Uncorrected formation energy = -59 kJ/mol of atoms
Total energy = -253.147 eV per cell
Density of states at the Fermi level = 0.00 states/eV/atom

a = 13.518 Å, b = 15.425 Å, c = 13.277 Å
α = 90.00°, β = 107.71°, γ = 90.00°
Sites, in units of the cell vectors:
Sb 0.235 0.141 0.247
Sb 0.235 0.359 0.747
Sb 0.261 0.609 0.248
Sb 0.261 0.891 0.748
Sb 0.739 0.109 0.252
Sb 0.739 0.391 0.752
Sb 0.765 0.641 0.253
Sb 0.765 0.859 0.753
Se 0.042 0.001 0.237
Se 0.042 0.499 0.737
Se 0.458 0.748 0.270
Se 0.458 0.752 0.770
Se 0.542 0.248 0.230
Se 0.542 0.252 0.730
Se 0.958 0.501 0.263
Se 0.958 0.999 0.763
Cl 0.032 0.090 0.889
Cl 0.032 0.410 0.389
Cl 0.104 0.221 0.122
Cl 0.104 0.279 0.622
Cl 0.113 0.592 0.863
Cl 0.113 0.908 0.363
Cl 0.133 0.150 0.370
Cl 0.133 0.350 0.870
Cl 0.148 0.704 0.125
Cl 0.148 0.796 0.625
Cl 0.163 0.016 0.673
Cl 0.163 0.484 0.173
Cl 0.172 0.638 0.374
Cl 0.172 0.862 0.874
Cl 0.318 0.110 0.117
Cl 0.318 0.390 0.617
Cl 0.333 0.233 0.815
Cl 0.333 0.267 0.315
Cl 0.353 0.048 0.369
Cl 0.353 0.452 0.869
Cl 0.369 0.601 0.130
Cl 0.369 0.899 0.630
Cl 0.389 0.526 0.375
Cl 0.389 0.974 0.875
Cl 0.393 0.657 0.647
Cl 0.393 0.843 0.147
Cl 0.469 0.165 0.599
Cl 0.469 0.335 0.099
Cl 0.531 0.665 0.901
Cl 0.531 0.835 0.401
Cl 0.607 0.157 0.853
Cl 0.607 0.343 0.353
Cl 0.611 0.026 0.125
Cl 0.611 0.474 0.625
Cl 0.631 0.101 0.370
Cl 0.631 0.399 0.870
Cl 0.647 0.548 0.131
Cl 0.647 0.952 0.631
Cl 0.667 0.733 0.685
Cl 0.667 0.767 0.185
Cl 0.682 0.610 0.383
Cl 0.682 0.890 0.883
Cl 0.828 0.138 0.126
Cl 0.828 0.362 0.626
Cl 0.837 0.516 0.827
Cl 0.837 0.984 0.327
Cl 0.852 0.204 0.375
Cl 0.852 0.296 0.875
Cl 0.867 0.650 0.130
Cl 0.867 0.850 0.630
Cl 0.887 0.092 0.637
Cl 0.887 0.408 0.137
Cl 0.896 0.721 0.378
Cl 0.896 0.779 0.878
Cl 0.968 0.590 0.611
Cl 0.968 0.910 0.111
O 0.143 0.027 0.189
O 0.143 0.473 0.689
O 0.353 0.721 0.313
O 0.353 0.779 0.813
O 0.647 0.221 0.187
O 0.647 0.279 0.687
O 0.857 0.527 0.311
O 0.857 0.973 0.811

***

(11)
The following is a GGA-PBE calculation of a geometry-optimized LaPS2Cl structure, from the Alexandria database.

Values from the calculation:
Symmetry = P4/mmm, No. 123
Uncorrected formation energy = -79 kJ/mol of atoms
Total energy = -24.531 eV per cell
Density of states at the Fermi level = 0.60 states/eV/atom

a = 4.793 Å, b = 4.793 Å, c = 4.613 Å
α = 90.00°, β = 90.00°, γ = 90.00°
Sites, in units of the cell vectors:
La 0.000 0.000 0.000
P 0.500 0.500 0.500
S 0.000 0.500 0.500
S 0.500 0.000 0.500
Cl 0.500 0.500 0.000

***

(12)
The following is a GGA-PBE calculation of a geometry-optimized Cr2NiAu structure, from the Alexandria database.

Values from the calculation:
Energy relative to the elements = 0.28 eV/atom
Symmetry = P4/mmm, No. 123
Total energy = -27.194 eV per cell
Density of states at the Fermi level = 1.47 states/eV/atom

a = 3.594 Å, b = 3.594 Å, c = 4.007 Å
α = 90.00°, β = 90.00°, γ = 90.00°
Sites, in units of the cell vectors:
Cr 0.000 0.500 0.000
Cr 0.500 0.000 0.000
Ni 0.000 0.000 0.500
Au 0.500 0.500 0.500

***

(13)
The following is a GGA-PBE calculation of a geometry-optimized K2ThGe2O6 structure, from the Alexandria database.

Values from the calculation:
Symmetry = C2/m, No. 12
Uncorrected formation energy = -218 kJ/mol of atoms
Total energy = -73.495 eV per cell
Density of states at the Fermi level = 0.00 states/eV/atom

a = 6.043 Å, b = 6.043 Å, c = 7.209 Å
α = 117.39°, β = 117.39°, γ = 61.01°
Sites, in units of the cell vectors:
K 0.210 0.210 0.185
K 0.790 0.790 0.815
Th 0.000 0.000 0.500
Ge 0.458 0.458 0.806
Ge 0.542 0.542 0.194
O 0.228 0.704 0.245
O 0.256 0.256 0.635
O 0.296 0.772 0.755
O 0.704 0.228 0.245
O 0.744 0.744 0.365
O 0.772 0.296 0.755

***

(14)
The following is a GGA-PBE calculation of a geometry-optimized Ac4Si3Pd12Au structure, from the Alexandria database.

Values from the calculation:
Symmetry = Im-3m, No. 229
Uncorrected formation energy = -57 kJ/mol of atoms
Total energy = -110.189 eV per cell
Density of states at the Fermi level = 0.65 states/eV/atom

a = 8.304 Å, b = 8.304 Å, c = 8.304 Å
α = 109.47°, β = 109.47°, γ = 109.47°
Sites, in units of the cell vectors:
Ac 0.000 0.000 0.500
Ac 0.000 0.500 0.000
Ac 0.500 0.000 0.000
Ac 0.500 0.500 0.500
Si 0.000 0.500 0.500
Si 0.500 0.000 0.500
Si 0.500 0.500 0.000
Pd 0.000 0.268 0.268
Pd 0.000 0.732 0.732
Pd 0.250 0.500 0.750
Pd 0.250 0.750 0.500
Pd 0.268 0.000 0.268
Pd 0.268 0.268 0.000
Pd 0.500 0.250 0.750
Pd 0.500 0.750 0.250
Pd 0.732 0.000 0.732
Pd 0.732 0.732 0.000
Pd 0.750 0.250 0.500
Pd 0.750 0.500 0.250
Au 0.000 0.000 0.000

***

(15)
The following is a GGA-PBE calculation of a geometry-optimized Rb2AgPb structure, from the Alexandria database.

Values from the calculation:
Energy relative to the elements = 0.31 eV/atom
Symmetry = R-3m, No. 166
Total energy = -7.266 eV per cell
Density of states at the Fermi level = 0.42 states/eV/atom

a = 12.723 Å, b = 12.723 Å, c = 12.723 Å
α = 18.21°, β = 18.21°, γ = 18.21°
Sites, in units of the cell vectors:
Rb 0.099 0.099 0.099
Rb 0.901 0.901 0.901
Ag 0.500 0.500 0.500
Pb 0.000 0.000 0.000

***

(16)
The following is a GGA-PBE calculation of a geometry-optimized Li6Ac3Pt5 structure, from the Alexandria database.

Values from the calculation:
Energy relative to the elements = -0.73 eV/atom
Symmetry = Pmmn, No. 59
Total energy = -128.401 eV per cell
Density of states at the Fermi level = 0.33 states/eV/atom

a = 4.223 Å, b = 13.019 Å, c = 10.342 Å
α = 90.00°, β = 90.00°, γ = 90.00°
Sites, in units of the cell vectors:
Li 0.250 0.061 0.074
Li 0.250 0.250 0.514
Li 0.250 0.250 0.955
Li 0.250 0.439 0.074
Li 0.250 0.596 0.495
Li 0.250 0.904 0.495
Li 0.750 0.096 0.505
Li 0.750 0.404 0.505
Li 0.750 0.561 0.926
Li 0.750 0.750 0.045
Li 0.750 0.750 0.486
Li 0.750 0.939 0.926
Ac 0.250 0.071 0.748
Ac 0.250 0.429 0.748
Ac 0.250 0.750 0.770
Ac 0.750 0.250 0.230
Ac 0.750 0.571 0.252
Ac 0.750 0.929 0.252
Pt 0.250 0.091 0.343
Pt 0.250 0.409 0.343
Pt 0.250 0.640 0.043
Pt 0.250 0.750 0.291
Pt 0.250 0.860 0.043
Pt 0.750 0.140 0.957
Pt 0.750 0.250 0.709
Pt 0.750 0.360 0.957
Pt 0.750 0.591 0.657
Pt 0.750 0.909 0.657

***

(17)
The following is a GGA-PBE calculation of a geometry-optimized PmTl3F6 structure, from the Alexandria database.

Values from the calculation:
Symmetry = C2/m, No. 12
Uncorrected formation energy = -258 kJ/mol of atoms
Total energy = -49.834 eV per cell
Density of states at the Fermi level = 0.00 states/eV/atom

a = 6.769 Å, b = 6.769 Å, c = 6.916 Å
α = 119.98°, β = 119.98°, γ = 60.12°
Sites, in units of the cell vectors:
Pm 0.000 0.000 0.000
Tl 0.250 0.250 0.779
Tl 0.500 0.500 0.500
Tl 0.750 0.750 0.221
F 0.157 0.690 0.138
F 0.216 0.216 0.346
F 0.310 0.843 0.862
F 0.690 0.157 0.138
F 0.784 0.784 0.654
F 0.843 0.310 0.862

***

(18)
The following is a GGA-PBE calculation of a geometry-optimized NdEuCuBi structure, from the Alexandria database.

Values from the calculation:
Energy relative to the elements = -0.40 eV/atom
Symmetry = F-43m, No. 216
Total energy = -24.627 eV per cell
Density of states at the Fermi level = 0.65 states/eV/atom

a = 5.419 Å, b = 5.419 Å, c = 5.419 Å
α = 60.00°, β = 60.00°, γ = 60.00°
Sites, in units of the cell vectors:
Nd 0.000 0.000 0.000
Eu 0.500 0.500 0.500
Cu 0.250 0.250 0.250
Bi 0.750 0.750 0.750

***

(19)
The following is a GGA-PBE calculation of a geometry-optimized AlFe2NiAs structure, from the Alexandria database.

Values from the calculation:
Energy relative to the elements = 0.67 eV/atom
Symmetry = P4/mmm, No. 123
Total energy = -27.750 eV per cell
Density of states at the Fermi level = 0.69 states/eV/atom

a = 4.513 Å, b = 4.513 Å, c = 4.225 Å
α = 90.00°, β = 90.00°, γ = 90.00°
Sites, in units of the cell vectors:
Al 0.000 0.000 0.000
Fe 0.000 0.500 0.500
Fe 0.500 0.000 0.500
Ni 0.500 0.500 0.500
As 0.500 0.500 0.000

***

(20)
The following is a GGA-PBE calculation of a geometry-optimized Li2CrTe structure, from the Alexandria database.

Values from the calculation:
Symmetry = I4/mmm, No. 139
Uncorrected formation energy = -8 kJ/mol of atoms
Total energy = -16.916 eV per cell
Density of states at the Fermi level = 0.51 states/eV/atom

a = 5.376 Å, b = 5.376 Å, c = 5.376 Å
α = 134.92°, β = 134.92°, γ = 65.66°
Sites, in units of the cell vectors:
Li 0.250 0.750 0.500
Li 0.750 0.250 0.500
Cr 0.000 0.000 0.000
Te 0.500 0.500 0.000